DFT (PBE) results for a geometry-optimized Sr2GaRh2 structure.

a b c (Å): 9.9686 9.9686 9.9686
angles (deg): 158.86 158.86 30.06
Positions (direct):
Sr 0.1149 0.1149 0.0000
Sr 0.8851 0.8851 0.0000
Ga 0.5000 0.5000 0.0000
Rh 0.2500 0.7500 0.5000
Rh 0.7500 0.2500 0.5000

Results
ΔE_f: -0.02 eV per atom
M_tot: 1.4 μB/cell